[1]
# Fe4O5F3

A relaxed Fe4O5F3 crystal (PBE+U, Alexandria).

```
data_Fe4O5F3
_chemical_formula_sum 'Fe16 O20 F12'
_symmetry_space_group_name_H-M 'C 1 2/m 1'
_symmetry_Int_Tables_number 12
_cell_length_a 13.8835
_cell_length_b 6.3317
_cell_length_c 7.0552
_cell_angle_alpha 90.00
_cell_angle_beta 119.69
_cell_angle_gamma 90.00
loop_
_symmetry_equiv_pos_as_xyz
'x,y,z'
'-x,-y,-z'
'-x,y,-z'
'x,-y,z'
'x+1/2,y+1/2,z'
'-x+1/2,-y+1/2,-z'
'-x+1/2,y+1/2,-z'
'x+1/2,-y+1/2,z'
loop_
_atom_site_label
_atom_site_type_symbol
_atom_site_fract_x
_atom_site_fract_y
_atom_site_fract_z
Fe1 Fe 0.0000 0.0000 0.0000
Fe2 Fe 0.0000 0.5000 0.5000
Fe3 Fe 0.1259 0.0000 0.6259
Fe4 Fe 0.1255 0.5000 0.1600
Fe5 Fe 0.2420 0.5000 0.7339
O1 O 0.0000 0.1928 0.5000
O2 O 0.0000 0.3035 0.0000
O3 O 0.1179 0.5000 0.4370
O4 O 0.2483 0.3068 0.2584
F1 F 0.1228 0.0000 0.3108
F2 F 0.1261 0.5000 0.8240
F3 F 0.1277 0.0000 0.9407
```

Computed properties:
**Electronic total energy**: -5.998 eV/atom
**Polymorph energy (0 for the lowest one)**: 1.17 kcal/mol of atoms
**Magnetic moment**: 0.5809 μB/atom



[2]
# Fe5OF11

A relaxed Fe5OF11 crystal (PBE+U, Alexandria).

```
data_Fe5OF11
_chemical_formula_sum 'Fe5 O1 F11'
_symmetry_space_group_name_H-M 'P 1'
_symmetry_Int_Tables_number 1
_cell_length_a 5.3066
_cell_length_b 5.7120
_cell_length_c 9.3741
_cell_angle_alpha 72.27
_cell_angle_beta 74.98
_cell_angle_gamma 64.41
loop_
_symmetry_equiv_pos_as_xyz
'x,y,z'
loop_
_atom_site_label
_atom_site_type_symbol
_atom_site_fract_x
_atom_site_fract_y
_atom_site_fract_z
Fe1 Fe 0.0000 0.0000 0.0000
Fe2 Fe 0.0256 0.6557 0.3224
Fe3 Fe 0.2595 0.9340 0.5972
Fe4 Fe 0.4967 0.1511 0.8269
Fe5 Fe 0.5476 0.4141 0.4962
O1 O 0.4771 0.1190 0.6302
F1 F 0.0360 0.0193 0.1892
F2 F 0.0818 0.3094 0.8942
F3 F 0.1392 0.6945 0.5213
F4 F 0.4223 0.8320 0.9305
F5 F 0.4439 0.4195 0.3144
F6 F 0.5194 0.5053 0.6992
F7 F 0.5847 0.1993 0.0015
F8 F 0.6079 0.7645 0.4115
F9 F 0.9385 0.9748 0.7982
F10 F 0.9634 0.2724 0.4625
F11 F 0.9665 0.6807 0.1032
```

Computed properties:
**Electronic total energy**: -5.363 eV/atom
**Polymorph energy (0 for the lowest one)**: 1.11 kcal/mol of atoms
**Magnetic moment**: 1.2345 μB/atom



[3]
# Fe6O5F7

A relaxed Fe6O5F7 crystal (PBE+U, Alexandria).

```
data_Fe6O5F7
_chemical_formula_sum 'Fe12 O10 F14'
_symmetry_space_group_name_H-M 'C 1 2 1'
_symmetry_Int_Tables_number 5
_cell_length_a 8.8539
_cell_length_b 6.9769
_cell_length_c 7.1603
_cell_angle_alpha 90.00
_cell_angle_beta 112.12
_cell_angle_gamma 90.00
loop_
_symmetry_equiv_pos_as_xyz
'x,y,z'
'-x,y,-z'
'x+1/2,y+1/2,z'
'-x+1/2,y+1/2,-z'
loop_
_atom_site_label
_atom_site_type_symbol
_atom_site_fract_x
_atom_site_fract_y
_atom_site_fract_z
Fe1 Fe 0.0000 0.0000 0.0000
Fe2 Fe 0.0000 0.0269 0.5000
Fe3 Fe 0.1441 0.4949 0.6662
Fe4 Fe 0.1672 0.4988 0.1528
O1 O 0.0000 0.2996 0.5000
O2 O 0.0560 0.5004 0.8715
O3 O 0.1025 0.0017 0.8030
F1 F 0.0000 0.7203 0.5000
F2 F 0.1607 0.8164 0.1661
F3 F 0.1633 0.1813 0.1680
F4 F 0.2404 0.0048 0.5420
```

Computed properties:
**Electronic total energy**: -5.715 eV/atom
**Polymorph energy (0 for the lowest one)**: 4.73 kcal/mol of atoms
**Magnetic moment**: 1.1666 μB/atom



[4]
# Fe5O4F8

A relaxed Fe5O4F8 crystal (PBE+U, Alexandria).

```
data_Fe5O4F8
_chemical_formula_sum 'Fe10 O8 F16'
_symmetry_space_group_name_H-M 'C m m m'
_symmetry_Int_Tables_number 65
_symmetry_space_group_name_Hall '-C 2 2'
_cell_length_a 6.2025
_cell_length_b 6.9063
_cell_length_c 8.9226
_cell_angle_alpha 90.00
_cell_angle_beta 90.00
_cell_angle_gamma 90.00
loop_
_atom_site_label
_atom_site_type_symbol
_atom_site_fract_x
_atom_site_fract_y
_atom_site_fract_z
Fe1 Fe 0.0000 0.0000 0.0000
Fe2 Fe 0.0000 0.0000 0.3316
Fe3 Fe 0.0000 0.5000 0.1823
O1 O 0.2015 0.0000 0.1681
F1 F 0.0000 0.2875 0.3221
F2 F 0.0000 0.3085 0.0000
F3 F 0.1972 0.0000 0.5000
```

Computed properties:
**Electronic total energy**: -5.262 eV/atom
**Polymorph energy (0 for the lowest one)**: 8.48 kcal/mol of atoms
**Magnetic moment**: 0.7045 μB/atom



[5]
# Fe2OF3

A relaxed Fe2OF3 crystal (PBE+U, Alexandria).

```
data_Fe2OF3
_chemical_formula_sum 'Fe8 O4 F12'
_symmetry_space_group_name_H-M 'P n m a'
_symmetry_Int_Tables_number 62
_cell_length_a 10.3433
_cell_length_b 5.9990
_cell_length_c 4.9538
_cell_angle_alpha 90.00
_cell_angle_beta 90.00
_cell_angle_gamma 90.00
loop_
_symmetry_equiv_pos_as_xyz
'x,y,z'
'-x,-y,-z'
'-x+1/2,-y,z+1/2'
'x+1/2,y,-z+1/2'
'x+1/2,-y+1/2,-z+1/2'
'-x+1/2,y+1/2,z+1/2'
'-x,y+1/2,-z'
'x,-y+1/2,z'
loop_
_atom_site_label
_atom_site_type_symbol
_atom_site_fract_x
_atom_site_fract_y
_atom_site_fract_z
Fe1 Fe 0.0000 0.0000 0.0000
Fe2 Fe 0.2371 0.2500 0.4859
O1 O 0.0775 0.7500 0.8360
F1 F 0.0842 0.2500 0.7611
F2 F 0.1626 0.0072 0.2288
```

Computed properties:
**Electronic total energy**: -5.613 eV/atom
**Polymorph energy (0 for the lowest one)**: 3.91 kcal/mol of atoms
**Magnetic moment**: 1.1679 μB/atom



[6]
# Fe2O3F

A relaxed Fe2O3F crystal (PBE+U, Alexandria).

```
data_Fe2O3F
_chemical_formula_sum 'Fe16 O24 F8'
_symmetry_space_group_name_H-M 'C m c m'
_symmetry_Int_Tables_number 63
_symmetry_space_group_name_Hall '-C 2c 2'
_cell_length_a 6.3876
_cell_length_b 6.8548
_cell_length_c 12.0596
_cell_angle_alpha 90.00
_cell_angle_beta 90.00
_cell_angle_gamma 90.00
loop_
_atom_site_label
_atom_site_type_symbol
_atom_site_fract_x
_atom_site_fract_y
_atom_site_fract_z
Fe1 Fe 0.0000 0.0000 0.0000
Fe2 Fe 0.0000 0.0113 0.2500
Fe3 Fe 0.0000 0.4724 0.1249
O1 O 0.0000 0.1805 0.1212
O2 O 0.1934 0.4879 0.2500
O3 O 0.1936 0.5000 0.0000
F1 F 0.0000 0.2019 0.6270
```

Computed properties:
**Electronic total energy**: -6.105 eV/atom
**Polymorph energy (0 for the lowest one)**: 0.20 kcal/mol of atoms
**Magnetic moment**: 1.4997 μB/atom



[7]
# Fe4O5F3

A relaxed Fe4O5F3 crystal (PBE+U, Alexandria).

```
data_Fe4O5F3
_chemical_formula_sum 'Fe8 O10 F6'
_symmetry_space_group_name_H-M 'A m m 2'
_symmetry_Int_Tables_number 38
_cell_length_a 6.0005
_cell_length_b 6.3691
_cell_length_c 7.0991
_cell_angle_alpha 90.00
_cell_angle_beta 90.00
_cell_angle_gamma 90.00
loop_
_symmetry_equiv_pos_as_xyz
'x,y,z'
'-x,-y,z'
'-x,y,z'
'x,-y,z'
'x,y+1/2,z+1/2'
'-x,-y+1/2,z+1/2'
'-x,y+1/2,z+1/2'
'x,-y+1/2,z+1/2'
loop_
_atom_site_label
_atom_site_type_symbol
_atom_site_fract_x
_atom_site_fract_y
_atom_site_fract_z
Fe1 Fe 0.0000 0.0000 0.0000
Fe2 Fe 0.2403 0.0000 0.4681
Fe3 Fe 0.5000 0.0000 0.9721
O1 O 0.0000 0.0000 0.2940
O2 O 0.2568 0.1917 0.9781
F1 F 0.0000 0.0000 0.6689
F2 F 0.5000 0.0000 0.2848
F3 F 0.5000 0.0000 0.6617
```

Computed properties:
**Electronic total energy**: -5.992 eV/atom
**Polymorph energy (0 for the lowest one)**: 1.31 kcal/mol of atoms
**Magnetic moment**: 1.4165 μB/atom



[8]
# Fe2OF3

A relaxed Fe2OF3 crystal (PBE+U, Alexandria).

```
data_Fe2OF3
_chemical_formula_sum 'Fe12 O6 F18'
_symmetry_space_group_name_H-M 'C 1 2 1'
_symmetry_Int_Tables_number 5
_cell_length_a 9.3246
_cell_length_b 6.7586
_cell_length_c 7.6161
_cell_angle_alpha 90.00
_cell_angle_beta 114.14
_cell_angle_gamma 90.00
loop_
_symmetry_equiv_pos_as_xyz
'x,y,z'
'-x,y,-z'
'x+1/2,y+1/2,z'
'-x+1/2,y+1/2,-z'
loop_
_atom_site_label
_atom_site_type_symbol
_atom_site_fract_x
_atom_site_fract_y
_atom_site_fract_z
Fe1 Fe 0.0000 0.0000 0.0000
Fe2 Fe 0.0000 0.0117 0.5000
Fe3 Fe 0.1651 0.4808 0.6675
Fe4 Fe 0.1686 0.4549 0.1681
O1 O 0.0000 0.3116 0.5000
O2 O 0.1697 0.1579 0.1681
F1 F 0.0000 0.6893 0.5000
F2 F 0.0682 0.4839 0.8623
F3 F 0.0920 0.9700 0.8014
F4 F 0.1687 0.7732 0.1655
F5 F 0.2321 0.9841 0.5249
```

Computed properties:
**Electronic total energy**: -5.771 eV/atom
**Polymorph energy (0 for the lowest one)**: 0.26 kcal/mol of atoms
**Magnetic moment**: 1.5000 μB/atom



The lowest polymorph energy (0 for the lowest one) belongs to which entry?
Fe2O3F



Please write out number 8 again, unchanged.
# Fe2OF3

A relaxed Fe2OF3 crystal (PBE+U, Alexandria).

```
data_Fe2OF3
_chemical_formula_sum 'Fe12 O6 F18'
_symmetry_space_group_name_H-M 'C 1 2 1'
_symmetry_Int_Tables_number 5
_cell_length_a 9.3246
_cell_length_b 6.7586
_cell_length_c 7.6161
_cell_angle_alpha 90.00
_cell_angle_beta 114.14
_cell_angle_gamma 90.00
loop_
_symmetry_equiv_pos_as_xyz
'x,y,z'
'-x,y,-z'
'x+1/2,y+1/2,z'
'-x+1/2,y+1/2,-z'
loop_
_atom_site_label
_atom_site_type_symbol
_atom_site_fract_x
_atom_site_fract_y
_atom_site_fract_z
Fe1 Fe 0.0000 0.0000 0.0000
Fe2 Fe 0.0000 0.0117 0.5000
Fe3 Fe 0.1651 0.4808 0.6675
Fe4 Fe 0.1686 0.4549 0.1681
O1 O 0.0000 0.3116 0.5000
O2 O 0.1697 0.1579 0.1681
F1 F 0.0000 0.6893 0.5000
F2 F 0.0682 0.4839 0.8623
F3 F 0.0920 0.9700 0.8014
F4 F 0.1687 0.7732 0.1655
F5 F 0.2321 0.9841 0.5249
```

Computed properties:
**Electronic total energy**: -5.771 eV/atom
**Polymorph energy (0 for the lowest one)**: 0.26 kcal/mol of atoms
**Magnetic moment**: 1.5000 μB/atom



Among the records above, which one has the lowest magnetic moment?
number 1